[1]
KHg5Au2 | PBE | relaxed

Cell lengths 4.557, 7.394, 7.394 Å; angles 69.32, 72.05, 72.05 degrees
Fractional coordinates of all 8 atoms:
Hg  0.000  0.500  0.500
K  0.000  0.000  0.000
Hg  0.645  0.550  0.159
Au  0.252  0.248  0.248
Hg  0.645  0.159  0.550
Au  0.748  0.752  0.752
Hg  0.355  0.450  0.841
Hg  0.355  0.841  0.450

## Properties
space group	Immm
DFT formation energy	-112	meV per atom

***

[2]
KHgAu3 | PBE | relaxed

Cell lengths 5.811, 5.811, 5.811 Å; angles 90.00, 90.00, 90.00 degrees
Fractional coordinates of all 5 atoms:
Au  0.000  0.000  0.500
Hg  0.500  0.500  0.500
Au  0.000  0.500  0.000
K  0.000  0.000  0.000
Au  0.500  0.000  0.000

## Properties
space group	Pm-3m
E above lowest polymorph	1.183	eV per atom
DFT formation energy	1024	meV per atom

***

[3]
KLaHgAu | PBE | relaxed

Cell lengths 5.460, 5.460, 5.460 Å; angles 60.00, 60.00, 60.00 degrees
Fractional coordinates of all 4 atoms:
K  0.750  0.750  0.750
Hg  0.500  0.500  0.500
Au  0.000  0.000  0.000
La  0.250  0.250  0.250

## Properties
space group	F-43m
DFT formation energy	-333	meV per atom

***

[4]
KLi2HgAu | PBE | relaxed

Cell lengths 5.126, 5.126, 5.409 Å; angles 90.00, 90.00, 90.00 degrees
Fractional coordinates of all 5 atoms:
K  0.500  0.500  0.500
Hg  0.000  0.000  0.500
Li  0.500  0.000  0.000
Li  0.000  0.500  0.000
Au  0.000  0.000  0.000

## Properties
space group	P4/mmm
DFT formation energy	-211	meV per atom